The following is a PBE-GGA calculation of a geometry-optimized Sr3PrSn12 structure, from Alexandria via LeMat-Bulk. Values from VASP.

Results
The energy of formation comes out at -0.422 eV/atom. The volume comes out at 455 Å³ per cell. Its calculated total energy is -4.0380 eV/atom. The value obtained for the total magnetic moment is 0.00 μB/atom. The crystal system is tetragonal.

Geometry as Quantum ESPRESSO input:
```
&SYSTEM
  ibrav = 0, nat = 16, ntyp = 3
/
ATOMIC_SPECIES
Sr 87.62 Sr.upf
Pr 140.91 Pr.upf
Sn 118.71 Sn.upf
CELL_PARAMETERS angstrom
4.828 0.000 0.000
0.000 4.828 0.000
0.000 0.000 19.515
ATOMIC_POSITIONS crystal
Sr 0.000 0.000 0.000
Sr 0.000 0.000 0.252
Sr 0.000 0.000 0.748
Pr 0.000 0.000 0.500
Sn 0.000 0.500 0.125
Sn 0.000 0.500 0.377
Sn 0.000 0.500 0.623
Sn 0.000 0.500 0.875
Sn 0.500 0.000 0.125
Sn 0.500 0.000 0.377
Sn 0.500 0.000 0.623
Sn 0.500 0.000 0.875
Sn 0.500 0.500 0.000
Sn 0.500 0.500 0.251
Sn 0.500 0.500 0.500
Sn 0.500 0.500 0.749
```


The following is a PBE-GGA calculation of a geometry-optimized SrPr2Sn9 structure, from Alexandria via LeMat-Bulk. Values from VASP.

Results
The energy of formation comes out at -0.470 eV/atom. The volume comes out at 335 Å³ per cell. Its calculated total energy is -4.4087 eV/atom. The value obtained for the total magnetic moment is 0.00 μB/atom. The crystal system is tetragonal.

Geometry as Quantum ESPRESSO input:
```
&SYSTEM
  ibrav = 0, nat = 12, ntyp = 3
/
ATOMIC_SPECIES
Sr 87.62 Sr.upf
Pr 140.91 Pr.upf
Sn 118.71 Sn.upf
CELL_PARAMETERS angstrom
4.868 0.000 0.000
0.000 4.868 0.000
0.000 0.000 14.157
ATOMIC_POSITIONS crystal
Sr 0.000 0.000 0.000
Pr 0.000 0.000 0.337
Pr 0.000 0.000 0.663
Sn 0.000 0.500 0.170
Sn 0.000 0.500 0.500
Sn 0.000 0.500 0.830
Sn 0.500 0.000 0.170
Sn 0.500 0.000 0.500
Sn 0.500 0.000 0.830
Sn 0.500 0.500 0.000
Sn 0.500 0.500 0.334
Sn 0.500 0.500 0.666
```


The following is a PBE-GGA calculation of a geometry-optimized Sr2PrSn structure, from Alexandria via LeMat-Bulk. Values from VASP.

Results
The energy of formation comes out at 0.157 eV/atom. The volume comes out at 168 Å³ per cell. Its calculated total energy is -2.8798 eV/atom. The value obtained for the total magnetic moment is 0.00 μB/atom. The crystal system is trigonal.

Geometry as Quantum ESPRESSO input:
```
&SYSTEM
  ibrav = 0, nat = 4, ntyp = 3
/
ATOMIC_SPECIES
Sr 87.62 Sr.upf
Pr 140.91 Pr.upf
Sn 118.71 Sn.upf
CELL_PARAMETERS angstrom
1.917 1.107 13.164
-1.917 1.107 13.164
0.000 -2.213 13.164
ATOMIC_POSITIONS crystal
Sr 0.085 0.085 0.085
Sr 0.915 0.915 0.915
Pr 0.500 0.500 0.500
Sn 0.000 0.000 0.000
```


The following is a PBE-GGA calculation of a geometry-optimized SrPr2Sn structure, from Alexandria via LeMat-Bulk. Values from VASP.

Results
The energy of formation comes out at -0.333 eV/atom. The volume comes out at 132 Å³ per cell. Its calculated total energy is -4.1435 eV/atom. The value obtained for the total magnetic moment is 0.00 μB/atom. The crystal system is tetragonal. The energy above the most stable polymorph in this dataset is 0 meV/atom.

Geometry as Quantum ESPRESSO input:
```
&SYSTEM
  ibrav = 0, nat = 4, ntyp = 3
/
ATOMIC_SPECIES
Sr 87.62 Sr.upf
Pr 140.91 Pr.upf
Sn 118.71 Sn.upf
CELL_PARAMETERS angstrom
5.121 0.000 0.000
0.000 5.121 0.000
0.000 0.000 5.039
ATOMIC_POSITIONS crystal
Sr 0.000 0.000 0.000
Pr 0.000 0.500 0.500
Pr 0.500 0.000 0.500
Sn 0.500 0.500 0.000
```


The following is a PBE-GGA calculation of a geometry-optimized SrPrTlSn structure, from Alexandria via LeMat-Bulk. Values from VASP.

Results
The energy of formation comes out at -0.477 eV/atom. The volume comes out at 127 Å³ per cell. Its calculated total energy is -3.6844 eV/atom. The value obtained for the total magnetic moment is 0.00 μB/atom. The crystal system is cubic.

Geometry as Quantum ESPRESSO input:
```
&SYSTEM
  ibrav = 0, nat = 4, ntyp = 4
/
ATOMIC_SPECIES
Sr 87.62 Sr.upf
Pr 140.91 Pr.upf
Tl 204.38 Tl.upf
Sn 118.71 Sn.upf
CELL_PARAMETERS angstrom
0.000 3.992 3.992
3.992 0.000 3.992
3.992 3.992 0.000
ATOMIC_POSITIONS crystal
Sr 0.000 0.000 0.000
Pr 0.500 0.500 0.500
Tl 0.250 0.250 0.250
Sn 0.750 0.750 0.750
```


The following is a PBE-GGA calculation of a geometry-optimized SrPr2Zn2Sn2 structure, from Alexandria via LeMat-Bulk. Values from VASP.

Results
The energy of formation comes out at -0.382 eV/atom. The volume comes out at 201 Å³ per cell. Its calculated total energy is -3.4957 eV/atom. The value obtained for the total magnetic moment is 0.00 μB/atom. The crystal system is trigonal.

Geometry as Quantum ESPRESSO input:
```
&SYSTEM
  ibrav = 0, nat = 7, ntyp = 4
/
ATOMIC_SPECIES
Sr 87.62 Sr.upf
Pr 140.91 Pr.upf
Zn 65.41 Zn.upf
Sn 118.71 Sn.upf
CELL_PARAMETERS angstrom
2.380 1.374 10.220
-2.380 1.374 10.220
0.000 -2.748 10.220
ATOMIC_POSITIONS crystal
Sr 0.000 0.000 0.000
Pr 0.132 0.132 0.132
Pr 0.868 0.868 0.868
Zn 0.420 0.420 0.420
Zn 0.580 0.580 0.580
Sn 0.261 0.261 0.261
Sn 0.739 0.739 0.739
```


The following is a PBE-GGA calculation of a geometry-optimized SrPrZnSn structure, from Alexandria via LeMat-Bulk. Values from VASP.

Results
The energy of formation comes out at -0.434 eV/atom. The volume comes out at 118 Å³ per cell. Its calculated total energy is -3.3683 eV/atom. The value obtained for the total magnetic moment is 0.00 μB/atom. The crystal system is cubic.

Geometry as Quantum ESPRESSO input:
```
&SYSTEM
  ibrav = 0, nat = 4, ntyp = 4
/
ATOMIC_SPECIES
Sr 87.62 Sr.upf
Pr 140.91 Pr.upf
Zn 65.41 Zn.upf
Sn 118.71 Sn.upf
CELL_PARAMETERS angstrom
0.000 3.895 3.895
3.895 0.000 3.895
3.895 3.895 0.000
ATOMIC_POSITIONS crystal
Sr 0.000 0.000 0.000
Pr 0.500 0.500 0.500
Zn 0.750 0.750 0.750
Sn 0.250 0.250 0.250
```


The following is a PBE-GGA calculation of a geometry-optimized TbPr6Sn structure, from Alexandria via LeMat-Bulk. Values from VASP.

Results
The energy of formation comes out at -0.197 eV/atom. The volume comes out at 266 Å³ per cell. Its calculated total energy is -4.8607 eV/atom. The value obtained for the total magnetic moment is 0.00 μB/atom. The crystal system is tetragonal.

Geometry as Quantum ESPRESSO input:
```
&SYSTEM
  ibrav = 0, nat = 8, ntyp = 3
/
ATOMIC_SPECIES
Tb 158.93 Tb.upf
Pr 140.91 Pr.upf
Sn 118.71 Sn.upf
CELL_PARAMETERS angstrom
5.045 0.000 0.000
0.000 5.045 0.000
0.000 0.000 10.437
ATOMIC_POSITIONS crystal
Tb 0.000 0.000 0.000
Pr 0.000 0.500 0.260
Pr 0.000 0.500 0.740
Pr 0.500 0.000 0.260
Pr 0.500 0.000 0.740
Pr 0.500 0.500 0.000
Pr 0.500 0.500 0.500
Sn 0.000 0.000 0.500
```


The following is a PBE-GGA calculation of a geometry-optimized Tb2PrSn structure, from Alexandria via LeMat-Bulk. Values from VASP.

Results
The energy of formation comes out at -0.412 eV/atom. The volume comes out at 254 Å³ per cell. Its calculated total energy is -4.9230 eV/atom. The value obtained for the total magnetic moment is 0.00 μB/atom. The crystal system is monoclinic. The energy above the most stable polymorph in this dataset is 14 meV/atom.

Geometry as Quantum ESPRESSO input:
```
&SYSTEM
  ibrav = 0, nat = 8, ntyp = 3
/
ATOMIC_SPECIES
Tb 158.93 Tb.upf
Pr 140.91 Pr.upf
Sn 118.71 Sn.upf
CELL_PARAMETERS angstrom
4.715 0.000 0.000
0.000 4.749 0.000
-2.338 0.000 11.330
ATOMIC_POSITIONS crystal
Tb 0.059 0.250 0.118
Tb 0.437 0.250 0.873
Tb 0.563 0.750 0.127
Tb 0.941 0.750 0.882
Pr 0.192 0.750 0.387
Pr 0.808 0.250 0.613
Sn 0.340 0.750 0.675
Sn 0.660 0.250 0.325
```


The following is a PBE-GGA calculation of a geometry-optimized TbPr2Sn2 structure, from Alexandria via LeMat-Bulk. Values from VASP.

Results
The energy of formation comes out at -0.712 eV/atom. The volume comes out at 310 Å³ per cell. Its calculated total energy is -5.1512 eV/atom. The value obtained for the total magnetic moment is 0.00 μB/atom. The crystal system is tetragonal. The energy above the most stable polymorph in this dataset is 0 meV/atom.

Geometry as Quantum ESPRESSO input:
```
&SYSTEM
  ibrav = 0, nat = 10, ntyp = 3
/
ATOMIC_SPECIES
Tb 158.93 Tb.upf
Pr 140.91 Pr.upf
Sn 118.71 Sn.upf
CELL_PARAMETERS angstrom
8.218 0.000 0.000
0.000 8.218 0.000
0.000 0.000 4.592
ATOMIC_POSITIONS crystal
Tb 0.000 0.000 0.000
Tb 0.500 0.500 0.000
Pr 0.172 0.328 0.500
Pr 0.328 0.828 0.500
Pr 0.672 0.172 0.500
Pr 0.828 0.672 0.500
Sn 0.130 0.630 0.000
Sn 0.370 0.130 0.000
Sn 0.630 0.870 0.000
Sn 0.870 0.370 0.000
```


The following is a PBE-GGA calculation of a geometry-optimized TbPr8Sn6 structure, from Alexandria via LeMat-Bulk. Values from VASP.

Results
The energy of formation comes out at -0.568 eV/atom. The volume comes out at 510 Å³ per cell. Its calculated total energy is -5.0272 eV/atom. The value obtained for the total magnetic moment is 0.00 μB/atom. The crystal system is trigonal.

Geometry as Quantum ESPRESSO input:
```
&SYSTEM
  ibrav = 0, nat = 15, ntyp = 3
/
ATOMIC_SPECIES
Tb 158.93 Tb.upf
Pr 140.91 Pr.upf
Sn 118.71 Sn.upf
CELL_PARAMETERS angstrom
4.706 2.717 6.650
-4.706 2.717 6.650
0.000 -5.434 6.650
ATOMIC_POSITIONS crystal
Tb 0.000 0.000 0.000
Pr 0.102 0.441 0.767
Pr 0.233 0.898 0.559
Pr 0.334 0.334 0.334
Pr 0.441 0.767 0.102
Pr 0.559 0.233 0.898
Pr 0.666 0.666 0.666
Pr 0.767 0.102 0.441
Pr 0.898 0.559 0.233
Sn 0.068 0.740 0.394
Sn 0.260 0.606 0.932
Sn 0.394 0.068 0.740
Sn 0.606 0.932 0.260
Sn 0.740 0.394 0.068
Sn 0.932 0.260 0.606
```


The following is a PBE-GGA calculation of a geometry-optimized Tb3Pr2Sn2 structure, from Alexandria via LeMat-Bulk. Values from VASP.

Results
The energy of formation comes out at -0.464 eV/atom. The volume comes out at 223 Å³ per cell. Its calculated total energy is -4.9579 eV/atom. The value obtained for the total magnetic moment is 0.00 μB/atom. The crystal system is monoclinic.

Geometry as Quantum ESPRESSO input:
```
&SYSTEM
  ibrav = 0, nat = 7, ntyp = 3
/
ATOMIC_SPECIES
Tb 158.93 Tb.upf
Pr 140.91 Pr.upf
Sn 118.71 Sn.upf
CELL_PARAMETERS angstrom
6.053 -2.268 0.000
6.053 2.268 0.000
-2.961 0.000 8.137
ATOMIC_POSITIONS crystal
Tb 0.000 0.000 0.000
Tb 0.129 0.129 0.440
Tb 0.871 0.871 0.560
Pr 0.364 0.364 0.209
Pr 0.636 0.636 0.791
Sn 0.332 0.332 0.798
Sn 0.668 0.668 0.202
```